A plane-wave DFT calculation with GGA+U was carried out for NiHgF2 after structural relaxation.

Values from the calculation:
Energy relative to the lowest polymorph listed for this composition (kJ/mol of formula units): 460
Theoretical density (g cm⁻³): 8.9
Total moment (μB per formula unit): 1.21

The structure in CIF format:
```
data_NiHgF2
_chemical_formula_sum 'Ni4 Hg4 F8'
_symmetry_space_group_name_H-M 'P 1'
_symmetry_Int_Tables_number 1
_cell_length_a 6.044
_cell_length_b 6.044
_cell_length_c 6.044
_cell_angle_alpha 90.00
_cell_angle_beta 90.00
_cell_angle_gamma 90.00
loop_
_symmetry_equiv_pos_as_xyz
'x,y,z'
loop_
_atom_site_label
_atom_site_type_symbol
_atom_site_fract_x
_atom_site_fract_y
_atom_site_fract_z
Ni1 Ni 0.000 0.000 0.000
Ni2 Ni 0.000 0.500 0.500
Ni3 Ni 0.500 0.000 0.500
Ni4 Ni 0.500 0.500 0.000
Hg1 Hg 0.000 0.000 0.500
Hg2 Hg 0.000 0.500 0.000
Hg3 Hg 0.500 0.000 0.000
Hg4 Hg 0.500 0.500 0.500
F1 F 0.250 0.250 0.250
F2 F 0.250 0.250 0.750
F3 F 0.250 0.750 0.250
F4 F 0.250 0.750 0.750
F5 F 0.750 0.250 0.250
F6 F 0.750 0.250 0.750
F7 F 0.750 0.750 0.250
F8 F 0.750 0.750 0.750
```